Record 1
Material: PmSmN
Method: DFT, PBE
State: optimized geometry

Properties
**Total magnetization**: 0.00 μB/cell
**Total energy**: -5.7288 eV per atom

a b c (Å): 4.7809 4.7809 7.8645
angles (deg): 90.00 90.00 90.00
Space group I4mm (No. 107)
Inequivalent atoms, fractional coordinates:
1 Pm 0.0000 0.0000 0.0000 (multiplicity 2)
2 Sm 0.0000 0.0000 0.4653 (multiplicity 2)
3 N 0.0000 0.0000 0.7316 (multiplicity 2)

---

Record 2
Material: Pm4SmN4
Method: DFT, PBE
State: optimized geometry

Properties
**Total magnetization**: 0.00 μB/cell
**Total energy**: -7.6202 eV per atom

a b c (Å): 5.1167 6.2772 6.2772
angles (deg): 80.48 66.02 66.00
Space group P-1 (No. 2)
Inequivalent atoms, fractional coordinates:
1 Pm 0.1097 0.2031 0.0766 (multiplicity 2)
2 Pm 0.3130 0.5767 0.2969 (multiplicity 2)
3 Sm 0.5000 0.0000 0.5000 (multiplicity 1)
4 N 0.2031 0.3927 0.7001 (multiplicity 2)
5 N 0.4031 0.7998 0.8925 (multiplicity 2)

---

Record 3
Material: PmSmN
Method: DFT, PBE
State: optimized geometry

Properties
**Total magnetization**: 0.00 μB/cell
**Total energy**: -6.8384 eV per atom

a b c (Å): 3.5933 3.5933 6.3173
angles (deg): 90.00 90.00 120.00
Space group P3m1 (No. 156)
Inequivalent atoms, fractional coordinates:
1 Pm 0.0000 0.0000 0.0000 (multiplicity 1)
2 Sm 0.6667 0.3333 0.4329 (multiplicity 1)
3 N 0.3333 0.6667 0.2202 (multiplicity 1)

---

Record 4
Material: PmSm5N4
Method: DFT, PBE
State: optimized geometry

Properties
**Total magnetization**: 0.00 μB/cell
**Total energy**: -7.3192 eV per atom

a b c (Å): 15.6825 3.5757 7.3878
angles (deg): 90.00 103.08 90.00
Space group C2/m (No. 12)
Inequivalent atoms, fractional coordinates:
1 Pm 0.0000 0.0000 0.0000 (multiplicity 2)
2 Sm 0.0000 0.0000 0.5000 (multiplicity 2)
3 Sm 0.1598 0.5000 0.3064 (multiplicity 4)
4 Sm 0.1650 0.5000 0.8502 (multiplicity 4)
5 N 0.0021 0.5000 0.2542 (multiplicity 4)
6 N 0.1678 0.0000 0.0845 (multiplicity 4)

---

Record 5
Material: PmSm3N4
Method: DFT, PBE
State: optimized geometry

Properties
**Total magnetization**: 0.00 μB/cell
**Total energy**: -7.9958 eV per atom

a b c (Å): 5.0835 5.0835 5.0835
angles (deg): 90.00 90.00 90.00
Space group Pm-3m (No. 221)
Inequivalent atoms, fractional coordinates:
1 Pm 0.0000 0.0000 0.0000 (multiplicity 1)
2 Sm 0.0000 0.5000 0.5000 (multiplicity 3)
3 N 0.0000 0.0000 0.5000 (multiplicity 3)
4 N 0.5000 0.5000 0.5000 (multiplicity 1)

---

Record 6
Material: Pm2SmN2
Method: DFT, PBE
State: optimized geometry

Properties
**Total magnetization**: 0.00 μB/cell
**Total energy**: -7.3020 eV per atom

a b c (Å): 11.5131 5.1453 7.3185
angles (deg): 90.00 110.11 90.00
Space group C2/m (No. 12)
Inequivalent atoms, fractional coordinates:
1 Pm 0.0072 0.0000 0.2337 (multiplicity 4)
2 Pm 0.1635 0.5000 0.0738 (multiplicity 4)
3 Sm 0.1567 0.5000 0.5950 (multiplicity 4)
4 N 0.0029 0.5000 0.7484 (multiplicity 4)
5 N 0.1656 0.0000 0.0841 (multiplicity 4)

---

Record 7
Material: PmSm3N3
Method: DFT, PBE
State: optimized geometry

Properties
**Total magnetization**: 3.09 μB/cell
**Total energy**: -7.3075 eV per atom

a b c (Å): 6.3001 6.3001 27.1100
angles (deg): 90.00 90.00 120.00
Space group R-3 (No. 148, hexagonal axes)
Inequivalent atoms, fractional coordinates:
1 Pm 0.0000 0.0000 0.1667 (multiplicity 6)
2 Sm 0.0000 0.3164 0.3992 (multiplicity 18)
3 N 0.9996 0.3676 0.5606 (multiplicity 18)

---

Record 8
Material: PmSmN
Method: DFT, PBE
State: optimized geometry

Properties
**Total magnetization**: 0.00 μB/cell
**Total energy**: -6.4316 eV per atom

a b c (Å): 3.3420 14.1143 6.4786
angles (deg): 90.00 90.00 90.00
Space group Cmcm (No. 63)
Inequivalent atoms, fractional coordinates:
1 Pm 0.0000 0.1753 0.2500 (multiplicity 4)
2 Sm 0.0000 0.0608 0.7500 (multiplicity 4)
3 N 0.0000 0.4444 0.7500 (multiplicity 4)

---

Record 9
Material: PmSm8N6
Method: DFT, PBE
State: optimized geometry

Properties
**Total magnetization**: 2.06 μB/cell
**Total energy**: -7.3465 eV per atom

a b c (Å): 6.2466 6.2466 27.3270
angles (deg): 90.00 90.00 120.00
Space group R-3 (No. 148, hexagonal axes)
Inequivalent atoms, fractional coordinates:
1 Pm 0.0000 0.0000 0.0000 (multiplicity 3)
2 Sm 0.0000 0.0000 0.3333 (multiplicity 6)
3 Sm 0.0000 0.3332 0.1026 (multiplicity 18)
4 N 0.0000 0.3346 0.9432 (multiplicity 18)

---

Record 10
Material: PmSm4N5
Method: DFT, PBE
State: optimized geometry

Properties
**Total magnetization**: 0.00 μB/cell
**Total energy**: -7.9995 eV per atom

a b c (Å): 8.0269 8.0269 5.0937
angles (deg): 90.00 90.00 90.00
Space group I4 (No. 79)
Inequivalent atoms, fractional coordinates:
1 Pm 0.0000 0.0000 0.0000 (multiplicity 2)
2 Sm 0.0999 0.3002 0.4998 (multiplicity 8)
3 N 0.0000 0.0000 0.5109 (multiplicity 2)
4 N 0.1003 0.3010 0.0119 (multiplicity 8)

---

Record 11
Material: Pm3SmN
Method: DFT, PBE
State: optimized geometry

Properties
**Total magnetization**: 0.00 μB/cell
**Total energy**: -5.9112 eV per atom

a b c (Å): 5.1207 5.1207 5.1207
angles (deg): 90.00 90.00 90.00
Space group Pm-3m (No. 221)
Inequivalent atoms, fractional coordinates:
1 Pm 0.0000 0.0000 0.5000 (multiplicity 3)
2 Sm 0.5000 0.5000 0.5000 (multiplicity 1)
3 N 0.0000 0.0000 0.0000 (multiplicity 1)

---

Record 12
Material: PmSm3N3
Method: DFT, PBE
State: optimized geometry

Properties
**Total magnetization**: 0.00 μB/cell
**Total energy**: -7.4747 eV per atom

a b c (Å): 5.0795 5.0795 5.0795
angles (deg): 90.00 90.00 90.00
Space group Pm-3m (No. 221)
Inequivalent atoms, fractional coordinates:
1 Pm 0.0000 0.0000 0.0000 (multiplicity 1)
2 Sm 0.0000 0.5000 0.5000 (multiplicity 3)
3 N 0.0000 0.0000 0.5000 (multiplicity 3)

---

Record 13
Material: Pm2SmN2
Method: DFT, PBE
State: optimized geometry

Properties
**Total magnetization**: 0.00 μB/cell
**Total energy**: -7.2965 eV per atom

a b c (Å): 3.5871 5.1687 10.9837
angles (deg): 90.00 90.00 90.00
Space group Immm (No. 71)
Inequivalent atoms, fractional coordinates:
1 Pm 0.0000 0.0000 0.1809 (multiplicity 4)
2 Sm 0.0000 0.0000 0.5000 (multiplicity 2)
3 N 0.0000 0.5000 0.1682 (multiplicity 4)

---

Record 14
Material: Pm3SmN4
Method: DFT, PBE
State: optimized geometry

Properties
**Total magnetization**: 0.00 μB/cell
**Total energy**: -7.9817 eV per atom

a b c (Å): 5.1016 5.1016 10.2071
angles (deg): 90.00 90.00 90.00
Space group I4/mmm (No. 139)
Inequivalent atoms, fractional coordinates:
1 Pm 0.0000 0.0000 0.0000 (multiplicity 2)
2 Pm 0.0000 0.5000 0.2500 (multiplicity 4)
3 Sm 0.0000 0.0000 0.5000 (multiplicity 2)
4 N 0.0000 0.0000 0.2509 (multiplicity 4)
5 N 0.0000 0.5000 0.0000 (multiplicity 4)

---

Record 15
Material: PmSmN
Method: DFT, PBE
State: optimized geometry

Properties
**Total magnetization**: 0.00 μB/cell
**Total energy**: -6.2709 eV per atom

a b c (Å): 6.1764 6.1764 6.1764
angles (deg): 90.00 90.00 90.00
Space group F-43m (No. 216)
Inequivalent atoms, fractional coordinates:
1 Pm 0.0000 0.0000 0.0000 (multiplicity 4)
2 Sm 0.0000 0.0000 0.5000 (multiplicity 4)
3 N 0.2500 0.2500 0.2500 (multiplicity 4)

---

Record 16
Material: PmSm5N6
Method: DFT, PBE
State: optimized geometry

Properties
**Total magnetization**: 0.00 μB/cell
**Total energy**: -8.0004 eV per atom

a b c (Å): 6.2210 10.7766 6.2216
angles (deg): 90.00 109.46 90.00
Space group C2/m (No. 12)
Inequivalent atoms, fractional coordinates:
1 Pm 0.0000 0.0000 0.0000 (multiplicity 2)
2 Sm 0.0000 0.1669 0.5000 (multiplicity 4)
3 Sm 0.0000 0.3334 0.0000 (multiplicity 4)
4 Sm 0.0000 0.5000 0.5000 (multiplicity 2)
5 N 0.2493 0.3328 0.7495 (multiplicity 8)
6 N 0.2491 0.5000 0.2504 (multiplicity 4)

---

Record 17
Material: Pm2Sm4Sn3N2
Method: DFT, PBE
State: optimized geometry

Properties
**Total magnetization**: 0.00 μB/cell
**Total energy**: -6.1604 eV per atom

a b c (Å): 4.8225 4.8225 25.6619
angles (deg): 90.00 90.00 90.00
Space group I4/mmm (No. 139)
Inequivalent atoms, fractional coordinates:
1 Pm 0.0000 0.0000 0.1927 (multiplicity 4)
2 Sm 0.0000 0.5000 0.0838 (multiplicity 8)
3 Sn 0.0000 0.0000 0.3232 (multiplicity 4)
4 Sn 0.0000 0.0000 0.5000 (multiplicity 2)
5 N 0.0000 0.0000 0.1024 (multiplicity 4)

---

Record 18
Material: PmSm2SnN4
Method: DFT, PBE
State: optimized geometry

Properties
**Total magnetization**: 0.00 μB/cell
**Total energy**: -7.2327 eV per atom

a b c (Å): 3.6070 11.9625 12.3210
angles (deg): 90.00 90.00 90.00
Space group Cmcm (No. 63)
Inequivalent atoms, fractional coordinates:
1 Pm 0.0000 0.1175 0.2500 (multiplicity 4)
2 Sm 0.0000 0.3708 0.0354 (multiplicity 8)
3 Sn 0.0000 0.1466 0.7500 (multiplicity 4)
4 N 0.0000 0.0000 0.0000 (multiplicity 4)
5 N 0.0000 0.2699 0.6271 (multiplicity 8)
6 N 0.0000 0.4516 0.2500 (multiplicity 4)

---

Record 19
Material: PmSmTaN3
Method: DFT, PBE
State: optimized geometry

Properties
**Total magnetization**: 0.00 μB/cell
**Total energy**: -8.7627 eV per atom

a b c (Å): 6.5222 3.3822 9.6946
angles (deg): 90.00 94.00 90.00
Space group P2_1/m (No. 11)
Inequivalent atoms, fractional coordinates:
1 Pm 0.2231 0.2500 0.2543 (multiplicity 2)
2 Sm 0.3196 0.7500 0.8912 (multiplicity 2)
3 Ta 0.1377 0.2500 0.5801 (multiplicity 2)
4 N 0.0894 0.2500 0.7784 (multiplicity 2)
5 N 0.2029 0.7500 0.4739 (multiplicity 2)
6 N 0.4059 0.7500 0.1315 (multiplicity 2)

---

Record 20
Material: Pm2Sm3TaN6
Method: DFT, PBE
State: optimized geometry

Properties
**Total magnetization**: 0.00 μB/cell
**Total energy**: -8.5280 eV per atom

a b c (Å): 6.0674 10.5017 6.0309
angles (deg): 90.00 109.54 90.00
Space group C2/m (No. 12)
Inequivalent atoms, fractional coordinates:
1 Pm 0.0000 0.1668 0.0000 (multiplicity 4)
2 Sm 0.0000 0.0000 0.5000 (multiplicity 2)
3 Sm 0.0000 0.3351 0.5000 (multiplicity 4)
4 Ta 0.0000 0.5000 0.0000 (multiplicity 2)
5 N 0.2232 0.5000 0.7660 (multiplicity 4)
6 N 0.2254 0.3506 0.2275 (multiplicity 8)